# 1
This record from the Open Quantum Materials Database describes an optimized crystal structure of KHg3GeSe4. The functional is GGA-PBE.

Computed properties:
Excess energy over the best structure of this formula in the dataset, eV per formula unit: 0.00

Geometry as CIF:
```
data_KHg3GeSe4
_symmetry_space_group_name_H-M 'P 1 21/m 1'
_symmetry_Int_Tables_number 11
_cell_length_a 7.220
_cell_length_b 7.263
_cell_length_c 11.428
_cell_angle_alpha 90.00
_cell_angle_beta 98.98
_cell_angle_gamma 90.00
loop_
_symmetry_equiv_pos_as_xyz
'x,y,z'
'-x,-y,-z'
'-x,y+1/2,-z'
'x,-y+1/2,z'
loop_
_atom_site_label
_atom_site_type_symbol
_atom_site_fract_x
_atom_site_fract_y
_atom_site_fract_z
_atom_site_occupancy
K1 K 0.145 0.250 0.132 1
Hg1 Hg 0.252 0.556 0.524 1
Hg2 Hg 0.473 0.250 0.807 1
Ge1 Ge 0.018 0.750 0.296 1
Se1 Se 0.177 0.750 0.116 1
Se2 Se 0.208 0.512 0.761 1
Se3 Se 0.331 0.250 0.415 1
```

***

# 2
This record from the Open Quantum Materials Database describes an optimized crystal structure of KHg3GeSe4. The functional is GGA-PBE.

Computed properties:
Excess energy over the best structure of this formula in the dataset, eV per formula unit: 0.42

Geometry as CIF:
```
data_KHg3GeSe4
_symmetry_space_group_name_H-M 'P -4 3 m'
_symmetry_Int_Tables_number 215
_symmetry_space_group_name_Hall 'P -4 2 3'
_cell_length_a 6.806
_cell_length_b 6.806
_cell_length_c 6.806
_cell_angle_alpha 90.00
_cell_angle_beta 90.00
_cell_angle_gamma 90.00
loop_
_atom_site_label
_atom_site_type_symbol
_atom_site_fract_x
_atom_site_fract_y
_atom_site_fract_z
_atom_site_occupancy
K1 K 0.000 0.000 0.000 1
Hg1 Hg 0.000 0.500 0.500 1
Ge1 Ge 0.500 0.500 0.500 1
Se1 Se 0.274 0.274 0.274 1
```

***

Copy entry 2 word for word.
This record from the Open Quantum Materials Database describes an optimized crystal structure of KHg3GeSe4. The functional is GGA-PBE.

Computed properties:
Excess energy over the best structure of this formula in the dataset, eV per formula unit: 0.42

Geometry as CIF:
```
data_KHg3GeSe4
_symmetry_space_group_name_H-M 'P -4 3 m'
_symmetry_Int_Tables_number 215
_symmetry_space_group_name_Hall 'P -4 2 3'
_cell_length_a 6.806
_cell_length_b 6.806
_cell_length_c 6.806
_cell_angle_alpha 90.00
_cell_angle_beta 90.00
_cell_angle_gamma 90.00
loop_
_atom_site_label
_atom_site_type_symbol
_atom_site_fract_x
_atom_site_fract_y
_atom_site_fract_z
_atom_site_occupancy
K1 K 0.000 0.000 0.000 1
Hg1 Hg 0.000 0.500 0.500 1
Ge1 Ge 0.500 0.500 0.500 1
Se1 Se 0.274 0.274 0.274 1
```